This record from Alexandria via LeMat-Bulk describes a geometry-optimized Tl4TeP structure. The functional is GGA-PBE.

a b c (Å): 6.4233 6.4233 6.4233
angles (deg): 60.00 60.00 60.00
Site moments in Bohr magnetons follow the coordinates.
Fractional positions:
Tl (0.8747, 0.3751, 0.3751)  -0.01
Tl (0.3751, 0.3751, 0.8747)  -0.01
Tl (0.3751, 0.8747, 0.3751)  -0.01
Tl (0.3751, 0.3751, 0.3751)  -0.01
Te (0.0000, 0.0000, 0.0000)  0.19
P (0.7500, 0.7500, 0.7500)  0.55

Output
* space-group type: No. 216
* E_form (uncorrected): 398 meV/atom
* total DFT energy (no corrections): -2.61 eV per atom


This record from Alexandria via LeMat-Bulk describes a geometry-optimized TlTe2P2 structure. The functional is GGA-PBE.

a b c (Å): 6.5994 6.5994 6.5994
angles (deg): 133.17 133.17 68.39
Fractional positions:
Tl (0.0000, 0.0000, 0.0000)
Te (0.6788, 0.6788, 0.0000)
Te (0.3212, 0.3212, 0.0000)
P (0.2500, 0.7500, 0.5000)
P (0.7500, 0.2500, 0.5000)

Output
* space-group type: No. 139
* E_form (uncorrected): 260 meV/atom
* total DFT energy (no corrections): -3.63 eV per atom


This record from Alexandria via LeMat-Bulk describes a geometry-optimized Tm4TlTe2P structure. The functional is GGA-PBE.

a b c (Å): 4.1275 7.4177 7.4071
angles (deg): 71.71 90.00 90.00
Fractional positions:
Tm (0.0000, 0.7317, 0.7429)
Tm (0.0000, 0.2683, 0.2571)
Tm (0.5000, 0.7162, 0.2726)
Tm (0.5000, 0.2838, 0.7274)
Tl (0.5000, 0.5000, 0.0000)
Te (0.0000, 0.0000, 0.0000)
Te (0.5000, 0.0000, 0.5000)
P (0.0000, 0.5000, 0.5000)

Output
* space-group type: No. 10
* E_form (uncorrected): -1070 meV/atom
* total DFT energy (no corrections): -5.06 eV per atom


This record from Alexandria via LeMat-Bulk describes a geometry-optimized Tm6TlTe3P2 structure. The functional is GGA-PBE.

a b c (Å): 4.1071 8.5891 9.4300
angles (deg): 103.95 102.58 90.00
Fractional positions:
Tm (0.3331, 0.8841, 0.6662)
Tm (0.6766, 0.5635, 0.3533)
Tm (0.6669, 0.1159, 0.3338)
Tm (0.0126, 0.2530, 0.0251)
Tm (0.9874, 0.7470, 0.9749)
Tm (0.3234, 0.4365, 0.6467)
Tl (0.5000, 0.0000, 0.0000)
Te (0.5000, 0.5000, 0.0000)
Te (0.8353, 0.1683, 0.6706)
Te (0.1647, 0.8317, 0.3294)
P (0.8305, 0.6597, 0.6610)
P (0.1695, 0.3403, 0.3390)

Output
* space-group type: No. 12
* E_form (uncorrected): -1219 meV/atom
* total DFT energy (no corrections): -5.34 eV per atom